Record 1
A plane-wave DFT calculation with GGA-PBEsol was carried out for crystalline Sr2NiPt at its relaxed geometry.

formation enthalpy at 0 K: -0.39 eV per atom
V: 25.66 Å³ per atom
crystal system: orthorhombic

abc: 4.353 4.426 10.654
angles: 90.00 90.00 90.00
Space group Amm2 (No. 38)
Unique sites:
Sr 0.000 0.000 0.000 (multiplicity 2)
Sr 0.500 0.000 0.287 (multiplicity 2)
Ni 0.500 0.000 0.599 (multiplicity 2)
Pt 0.000 0.000 0.697 (multiplicity 2)



Record 2
A plane-wave DFT calculation with GGA-PBEsol was carried out for crystalline Sr2NiPt at its relaxed geometry.

formation enthalpy at 0 K: 0.04 eV per atom
V: 21.16 Å³ per atom
crystal system: cubic

abc: 6.969 6.969 6.969
angles: 90.00 90.00 90.00
Space group F-43m (No. 216)
Unique sites:
Sr 0.000 0.000 0.000 (multiplicity 4)
Sr 0.250 0.250 0.250 (multiplicity 4)
Ni 0.250 0.250 0.750 (multiplicity 4)
Pt 0.000 0.000 0.500 (multiplicity 4)



Record 3
A plane-wave DFT calculation with GGA-PBEsol was carried out for crystalline SrNiPt at its relaxed geometry.

formation enthalpy at 0 K: 0.24 eV per atom
V: 22.40 Å³ per atom
crystal system: cubic

abc: 6.454 6.454 6.454
angles: 90.00 90.00 90.00
Space group F-43m (No. 216)
Unique sites:
Sr 0.000 0.000 0.000 (multiplicity 4)
Ni 0.000 0.000 0.500 (multiplicity 4)
Pt 0.250 0.250 0.750 (multiplicity 4)



Record 4
A plane-wave DFT calculation with GGA-PBEsol was carried out for crystalline SrNi2Pt at its relaxed geometry.

formation enthalpy at 0 K: -0.29 eV per atom
V: 19.01 Å³ per atom
crystal system: trigonal

abc: 4.1925 4.1925 14.9831
angles: 90.00 90.00 120.00
Space group R-3m (No. 166, hexagonal axes)
Unique sites:
Sr 0.0000 0.0000 0.0000 (multiplicity 3)
Ni 0.0000 0.0000 0.1856 (multiplicity 6)
Pt 0.0000 0.0000 0.5000 (multiplicity 3)



no.,DFT total energy (eV/atom)
1,-4.59
2,-4.16
3,-4.75
4,-5.57